First-principles (GGA-PBE) data for Ba3Tl2Zn4 after structural relaxation, as listed in Alexandria via LeMat-Bulk.

Cell lengths 4.933, 6.656, 9.726 Å; angles 106.52, 90.00, 111.75 degrees
Sites, in units of the cell vectors:
Zn 0.940 0.880 0.597
Ba 0.339 0.677 0.328
Ba 0.000 0.000 0.000
Tl 0.382 0.763 0.718
Zn 0.277 0.554 0.952
Zn 0.723 0.446 0.048
Ba 0.661 0.323 0.672
Zn 0.060 0.120 0.403
Tl 0.618 0.237 0.282

Results
**Symmetry**: C2/m, No. 12
**M_tot**: 0.00 μB per atom
**DFT total energy**: -1.966 eV per atom
**Calculated formation energy**: -22 kJ per mole of atoms